1.
Material: MoSCl3
Method: DFT, PBE
State: optimized geometry

Results
* space group: Pm-3m (221)
* D(E_F): 3.48 states/eV/f.u.
* uncorrected formation energy: 788 meV per atom
* M_tot: 4.79 μB per formula unit
* distance to the lowest polymorph of the same formula: 1.5567 eV/atom
* calculated volume: 120.19 Å³ per cell

a = 4.9350 Å, b = 4.9350 Å, c = 4.9350 Å
α = 90.00°, β = 90.00°, γ = 90.00°
Closest atoms and distances in Å follow each position.
Sites, in units of the cell vectors:
1 Mo 0.0000 0.0000 0.0000  12 Cl 3.49
2 S 0.5000 0.5000 0.5000  6 Cl 2.47
3 Cl 0.0000 0.5000 0.5000  2 S 2.47
4 Cl 0.5000 0.0000 0.5000  2 S 2.47
5 Cl 0.5000 0.5000 0.0000  2 S 2.47


2.
Material: La2SiPt
Method: DFT, PBE
State: optimized geometry

Results
* space group: P4/mmm (123)
* D(E_F): 2.78 states/eV/f.u.
* uncorrected formation energy: -737 meV per atom
* M_tot: 0.00 μB per formula unit
* calculated volume: 115.35 Å³ per cell

a = 4.3470 Å, b = 4.3470 Å, c = 6.1046 Å
α = 90.00°, β = 90.00°, γ = 90.00°
Closest atoms and distances in Å follow each position.
Sites, in units of the cell vectors:
1 La 0.0000 0.0000 0.0000  2 Si 3.05, 4 Pt 3.07
2 La 0.5000 0.5000 0.5000  2 Pt 3.05, 4 Si 3.07
3 Si 0.0000 0.0000 0.5000  6 La 3.05-3.07
4 Pt 0.5000 0.5000 0.0000  6 La 3.05-3.07


3.
Material: Na2BiPd2
Method: DFT, PBE
State: optimized geometry

Results
* space group: P4/mbm (127)
* D(E_F): 2.20 states/eV/f.u.
* M_tot: 0.00 μB per formula unit
* distance to the lowest polymorph of the same formula: 0.0772 eV/atom
* formation energy from the elements: -19.9 kJ per mole of atoms
* calculated volume: 233.23 Å³ per cell

a = 7.0062 Å, b = 7.0062 Å, c = 4.7514 Å
α = 90.00°, β = 90.00°, γ = 90.00°
Closest atoms and distances in Å follow each position.
Sites, in units of the cell vectors:
1 Na 0.1669 0.3331 0.0000  6 Pd 3.07-3.20, 1 Na 3.31
2 Na 0.3331 0.8331 0.0000  6 Pd 3.07-3.20, 1 Na 3.31
3 Na 0.6669 0.1669 0.0000  6 Pd 3.07-3.20, 1 Na 3.31
4 Na 0.8331 0.6669 0.0000  6 Pd 3.07-3.20, 1 Na 3.31
5 Bi 0.0000 0.0000 0.5000  4 Pd 2.72
6 Bi 0.5000 0.5000 0.5000  4 Pd 2.72
7 Pd 0.1366 0.6366 0.5000  1 Pd 2.71, 2 Bi 2.72
8 Pd 0.3634 0.1366 0.5000  1 Pd 2.71, 2 Bi 2.72
9 Pd 0.6366 0.8634 0.5000  1 Pd 2.71, 2 Bi 2.72
10 Pd 0.8634 0.3634 0.5000  1 Pd 2.71, 2 Bi 2.72